MgAgSe after structural relaxation, computed with PBE.

a = 4.5456 Å, b = 4.5456 Å, c = 6.3337 Å
α = 90.00°, β = 90.00°, γ = 90.00°
Closest atoms and distances in Å follow each position.
Fractional positions:
Ag 0.0000 0.5000 0.8188  1 Se 2.75, 4 Mg 3.04
Ag 0.5000 0.0000 0.1812  1 Se 2.75, 4 Mg 3.04
Se 0.5000 0.0000 0.7464  1 Ag 2.75, 4 Mg 2.76
Se 0.0000 0.5000 0.2536  1 Ag 2.75, 4 Mg 2.76
Mg 0.0000 0.0000 0.5000  4 Se 2.76, 4 Ag 3.04
Mg 0.5000 0.5000 0.5000  4 Se 2.76, 4 Ag 3.04

Computed properties:
Crystal system ... tetragonal
Distance to the lowest polymorph of the same formula ... 132 meV/atom
SG ... P4/nmm, No. 129
Formation energy without anion corrections ... -0.320 eV/atom